The following is a PBE+U calculation of a geometry-optimized VCoRuO6 structure, from Alexandria.

Unit cell a=4.969 b=4.969 c=8.947 alpha=90.00 beta=90.00 gamma=120.00
Element x y z (fractional)
O: 0.011 0.353 0.132
O: 0.342 0.353 0.368
O: 0.342 0.989 0.132
O: 0.353 0.011 0.632
O: 0.989 0.342 0.632
O: 0.658 0.011 0.868
O: 0.353 0.342 0.868
O: 0.658 0.647 0.632
O: 0.647 0.989 0.368
O: 0.989 0.647 0.868
O: 0.647 0.658 0.132
O: 0.011 0.658 0.368
Ru: 0.333 0.667 0.750
Ru: 0.667 0.333 0.250
V: 0.667 0.333 0.750
V: 0.333 0.667 0.250
Co: 0.000 0.000 0.000
Co: 0.000 0.000 0.500

Computed properties:
Energy: -6.96 eV/atom
Magnetic moment: 0.002 μB/atom